Entry 1:
DFT (GGA-PBE) results for a relaxed structure of TbSmZn10.

a b c (Å): 4.227 5.339 9.229
angles (deg): 90.00 90.00 90.00
Fractional coordinates of all 12 atoms:
Tb: 0.000 0.000 0.000
Sm: 0.000 0.500 0.500
Zn: 0.000 0.000 0.331
Zn: 0.000 0.000 0.669
Zn: 0.000 0.500 0.164
Zn: 0.000 0.500 0.836
Zn: 0.500 0.000 0.500
Zn: 0.500 0.249 0.249
Zn: 0.500 0.249 0.751
Zn: 0.500 0.500 0.000
Zn: 0.500 0.751 0.249
Zn: 0.500 0.751 0.751

Symmetry: Pmmm
Formation energy, meV per atom: -288

Entry 2:
DFT (GGA-PBE) results for a relaxed structure of Tm4CoAg.

a b c (Å): 6.713 6.713 6.933
angles (deg): 90.00 90.12 90.00
Fractional coordinates of all 12 atoms:
Tm: 0.250 0.250 0.228
Tm: 0.250 0.250 0.772
Tm: 0.250 0.750 0.228
Tm: 0.250 0.750 0.772
Tm: 0.750 0.250 0.228
Tm: 0.750 0.250 0.772
Tm: 0.750 0.750 0.228
Tm: 0.750 0.750 0.772
Co: 0.000 0.000 0.000
Co: 0.500 0.500 0.000
Ag: 0.000 0.500 0.500
Ag: 0.500 0.000 0.500

Symmetry: C2/m
Formation energy, meV per atom: -42
Polymorph energy (0 for the lowest one), eV per atom: 0.220

Entry 3:
DFT (GGA-PBE) results for a relaxed structure of MgCrTe2.

a b c (Å): 7.330 7.330 7.330
angles (deg): 90.00 90.00 90.00
Fractional coordinates of all 16 atoms:
Mg: 0.000 0.000 0.000
Mg: 0.000 0.500 0.500
Mg: 0.500 0.000 0.500
Mg: 0.500 0.500 0.000
Cr: 0.250 0.250 0.250
Cr: 0.250 0.750 0.750
Cr: 0.750 0.250 0.750
Cr: 0.750 0.750 0.250
Te: 0.000 0.000 0.500
Te: 0.000 0.500 0.000
Te: 0.250 0.250 0.750
Te: 0.250 0.750 0.250
Te: 0.500 0.000 0.000
Te: 0.500 0.500 0.500
Te: 0.750 0.250 0.250
Te: 0.750 0.750 0.750

Symmetry: F-43m
Uncorrected formation energy, meV per atom: 346

Entry 4:
DFT (GGA-PBE) results for a relaxed structure of AcSmErSe3.

a b c (Å): 8.197 4.219 10.387
angles (deg): 90.00 104.70 90.00
Fractional coordinates of all 12 atoms:
Ac: 0.193 0.250 0.215
Ac: 0.807 0.750 0.785
Sm: 0.335 0.750 0.909
Sm: 0.665 0.250 0.091
Er: 0.164 0.250 0.622
Er: 0.836 0.750 0.378
Se: 0.089 0.250 0.885
Se: 0.202 0.750 0.452
Se: 0.489 0.750 0.204
Se: 0.511 0.250 0.796
Se: 0.798 0.250 0.548
Se: 0.911 0.750 0.115

Symmetry: P2_1/m
Uncorrected formation energy, meV per atom: -1644